Below is a crystal of Li3Br relaxed with PBEsol, with properties calculated at the SCAN level.

Formation energy (no corrections), eV per atom: -0.686
Space group: P-6m2 (187)

a = 3.541 Å, b = 3.541 Å, c = 8.443 Å
α = 90.00°, β = 90.00°, γ = 120.00°
Sites, in units of the cell vectors:
Li 0.333 0.667 0.806
Li 0.000 0.000 0.500
Li 0.333 0.667 0.194
Br 0.000 0.000 0.000

***

Below is a crystal of CrHgAs2 relaxed with PBEsol, with properties calculated at the SCAN level.

Space group: P4/mmm (123)
ΔH_f (0 K), meV per atom: 233.1

a = 4.405 Å, b = 4.400 Å, c = 3.716 Å
α = 90.00°, β = 90.00°, γ = 90.00°
Last column: magnetic moment on the atom in μB.
Sites, in units of the cell vectors:
As 0.500 0.500 0.000  -0.14
As 0.000 0.000 0.000  -0.14
Cr 0.500 0.000 0.500  3.77
Hg 0.000 0.500 0.500  -0.03

***

Below is a crystal of LaTa2Br relaxed with PBEsol, with properties calculated at the SCAN level.

Formation energy (no corrections), eV per atom: 0.934
Space group: P4/mmm (123)

a = 3.585 Å, b = 3.585 Å, c = 6.730 Å
α = 90.00°, β = 90.00°, γ = 90.00°
Sites, in units of the cell vectors:
Ta 0.000 0.000 0.198
Ta 0.000 0.000 0.802
Br 0.500 0.500 0.000
La 0.500 0.500 0.500

***

Below is a crystal of CaTaAg2 relaxed with PBEsol, with properties calculated at the SCAN level.

Space group: Cm (8)
ΔH_f (0 K), meV per atom: 343.2

a = 2.845 Å, b = 5.189 Å, c = 5.559 Å
α = 104.69°, β = 104.83°, γ = 90.00°
Sites, in units of the cell vectors:
Ag 0.726 0.299 0.453
Ag 0.019 0.945 0.038
Ta 0.272 0.823 0.544
Ca 0.483 0.434 0.965

***

Below is a crystal of KTi3Ag relaxed with PBEsol, with properties calculated at the SCAN level.

Space group: Pm-3m (221)
ΔH_f (0 K), meV per atom: 1937.7

a = 4.448 Å, b = 4.448 Å, c = 4.448 Å
α = 90.00°, β = 90.00°, γ = 90.00°
Last column: magnetic moment on the atom in μB.
Sites, in units of the cell vectors:
Ag 0.500 0.500 0.500  0.04
Ti 0.000 0.000 0.500  0.92
Ti 0.500 0.000 0.000  0.92
Ti 0.000 0.500 0.000  0.92
K 0.000 0.000 0.000  0.23

***

Below is a crystal of LiCo5 relaxed with PBEsol, with properties calculated at the SCAN level.

Space group: P6/mmm (191)
ΔH_f (0 K), meV per atom: 235.1

a = 3.967 Å, b = 4.600 Å, c = 4.600 Å
α = 120.00°, β = 90.00°, γ = 90.00°
Last column: magnetic moment on the atom in μB.
Sites, in units of the cell vectors:
Co 0.000 0.333 0.667  1.86
Co 0.000 0.667 0.333  1.86
Co 0.500 0.000 0.500  1.85
Co 0.500 0.500 0.000  1.85
Co 0.500 0.500 0.500  1.85
Li 0.000 0.000 0.000  -0.03

***

Below is a crystal of YSbTe2S relaxed with PBEsol, with properties calculated at the SCAN level.

Formation energy (no corrections), eV per atom: 0.399
Space group: P4/mmm (123)

a = 5.623 Å, b = 5.623 Å, c = 5.824 Å
α = 90.00°, β = 90.00°, γ = 90.00°
Last column: magnetic moment on the atom in μB.
Sites, in units of the cell vectors:
Sb 0.000 0.000 0.500  -0.03
Te 0.000 0.500 0.000  0.22
Te 0.500 0.000 0.000  0.22
S 0.500 0.500 0.500  0.83
Y 0.000 0.000 0.000  -0.01

***

Below is a crystal of HgAsPb2 relaxed with PBEsol, with properties calculated at the SCAN level.

Space group: Imm2 (44)
ΔH_f (0 K), meV per atom: 66.4

a = 4.031 Å, b = 4.366 Å, c = 6.802 Å
α = 108.72°, β = 107.24°, γ = 90.00°
Sites, in units of the cell vectors:
Pb 0.793 0.293 0.586
Pb 0.026 0.026 0.051
As 0.467 0.467 0.935
Hg 0.214 0.714 0.427

***

| no. | density (g/cm3) | calculated total energy (eV for the cell shown) |
| --- | --- | --- |
| 1 | 1.8 | -29.37 |
| 2 | 9.3 | -126.00 |
| 3 | 11.1 | -192.00 |
| 4 | 9.5 | -137.61 |
| 5 | 5.5 | -78.10 |
| 6 | 6.9 | -87.50 |
| 7 | 4.5 | -147.24 |
| 8 | 10.6 | -239.65 |